Entry 1:
Computed, not measured: a relaxed structure of CdFeS2I at the PBE-GGA level of DFT.

Unit cell a=5.328 b=4.794 c=5.328 alpha=90.00 beta=90.00 gamma=90.00
Fractional positions:
I: 0.000 0.000 0.000
S: 0.000 0.000 0.500
S: 0.500 0.000 0.000
Fe: 0.000 0.500 0.000
Cd: 0.500 0.500 0.500

The space group is P4/mmm. Its final energy is -2.8221 eV per atom. The value obtained for the formation energy (no corrections) is 1.01 eV per atom.



Entry 2:
Computed, not measured: a relaxed structure of CdFeSiI2 at the PBE-GGA level of DFT.

Unit cell a=5.588 b=4.400 c=5.588 alpha=90.00 beta=90.00 gamma=90.00
Fractional positions:
I: 0.000 0.000 0.500
I: 0.500 0.000 0.000
Si: 0.000 0.500 0.000
Fe: 0.000 0.000 0.000
Cd: 0.500 0.500 0.500

The space group is P4/mmm. Its final energy is -3.1751 eV per atom. The value obtained for the formation energy (no corrections) is 0.41 eV per atom.



Entry 3:
Computed, not measured: a relaxed structure of CdFeTe2I at the PBE-GGA level of DFT.

Unit cell a=4.982 b=4.982 c=5.684 alpha=90.00 beta=90.00 gamma=90.00
Fractional positions:
I: 0.000 0.000 0.500
Te: 0.000 0.500 0.000
Te: 0.500 0.000 0.000
Fe: 0.000 0.000 0.000
Cd: 0.500 0.500 0.500

Its offset from the most stable computed form is 0.0 meV per atom. The space group is P4/mmm. Its final energy is -3.0690 eV per atom. The value obtained for the formation energy (no corrections) is 0.37 eV per atom.



Entry 4:
Computed, not measured: a relaxed structure of CdFeTeI2 at the PBE-GGA level of DFT.

Unit cell a=5.538 b=5.538 c=4.828 alpha=90.00 beta=90.00 gamma=90.00
Fractional positions:
I: 0.000 0.500 0.000
I: 0.500 0.000 0.000
Te: 0.000 0.000 0.500
Fe: 0.000 0.000 0.000
Cd: 0.500 0.500 0.500

Its offset from the most stable computed form is 0.0 meV per atom. The space group is P4/mmm. Its final energy is -2.7870 eV per atom. The value obtained for the formation energy (no corrections) is 0.34 eV per atom.



Entry 5:
Computed, not measured: a relaxed structure of TlCdFe2I8 at the PBE-GGA level of DFT.

Unit cell a=7.361 b=7.361 c=10.163 alpha=86.96 beta=86.96 gamma=69.73
Fractional positions:
Tl: 0.000 0.000 0.500
Cd: 0.000 0.000 0.000
Fe: 0.627 0.627 0.223
Fe: 0.373 0.373 0.777
I: 0.752 0.260 0.781
I: 0.752 0.752 0.008
I: 0.715 0.715 0.443
I: 0.285 0.285 0.557
I: 0.248 0.248 0.992
I: 0.260 0.752 0.781
I: 0.740 0.248 0.219
I: 0.248 0.740 0.219

The space group is C2/m. Its final energy is -3.0303 eV per atom. The value obtained for the formation energy (no corrections) is -0.31 eV per atom.



Entry 6:
Computed, not measured: a relaxed structure of ZnCdFe2I at the PBE-GGA level of DFT.

Unit cell a=4.807 b=5.068 c=4.807 alpha=90.00 beta=90.00 gamma=90.00
Fractional positions:
I: 0.500 0.500 0.500
Zn: 0.000 0.000 0.000
Fe: 0.000 0.000 0.500
Fe: 0.500 0.000 0.000
Cd: 0.000 0.500 0.000

The space group is P4/mmm. Its final energy is -3.1886 eV per atom. The value obtained for the formation energy (no corrections) is 0.94 eV per atom.



Entry 7:
Computed, not measured: a relaxed structure of Cd2InFe at the PBE-GGA level of DFT.

Unit cell a=5.250 b=5.250 c=3.120 alpha=90.00 beta=90.00 gamma=113.03
Fractional positions:
Cd: 0.000 0.000 0.000
Cd: 0.500 0.500 0.000
Fe: 0.500 0.000 0.500
In: 0.000 0.500 0.500

The space group is Cmmm. Its final energy is -2.9448 eV per atom. Its energy of formation is 0.3130 eV/atom.



Entry 8:
Computed, not measured: a relaxed structure of Cd2InFe at the PBE-GGA level of DFT.

Unit cell a=4.025 b=3.066 c=7.041 alpha=64.69 beta=90.00 gamma=90.00
Fractional positions:
Cd: 0.000 0.990 0.010
Cd: 0.500 0.234 0.267
Fe: 0.000 0.494 0.506
In: 0.500 0.783 0.718

The space group is Pm. Its final energy is -2.9659 eV per atom. Its energy of formation is 0.2920 eV/atom.